[1]
VASP calculation (GGA-PBE) on FeTcPb2 after structural relaxation.

Output
M_tot: 2.42 μB per formula unit
E above lowest polymorph: 135.2 meV/atom
energy of formation from the pure elements: 483 meV per atom
DOS(E_F): 0.66 states/eV per atom

Structure (CIF):
```
data_FeTcPb2
_space_group_name_H-M_alt 'A m m 2'
_space_group_IT_number 38
_cell_length_a 4.236
_cell_length_b 3.677
_cell_length_c 10.352
_cell_angle_alpha 90.00
_cell_angle_beta 90.00
_cell_angle_gamma 90.00
loop_
_space_group_symop_operation_xyz
'x,y,z'
'-x,-y,z'
'-x,y,z'
'x,-y,z'
'x,y+1/2,z+1/2'
'-x,-y+1/2,z+1/2'
'-x,y+1/2,z+1/2'
'x,-y+1/2,z+1/2'
loop_
_atom_site_label
_atom_site_type_symbol
_atom_site_fract_x
_atom_site_fract_y
_atom_site_fract_z
Fe1 Fe 0.000 0.000 0.000
Tc1 Tc 0.500 0.000 0.877
Pb1 Pb 0.000 0.000 0.285
Pb2 Pb 0.500 0.000 0.591
```


[2]
VASP calculation (GGA-PBE) on Sm12Sn6C after structural relaxation.

Output
M_tot: 0.00 μB per formula unit
energy of formation from the pure elements: -509 meV per atom
DOS(E_F): 0.71 states/eV per atom

Structure (CIF):
```
data_Sm12Sn6C
_space_group_name_H-M_alt 'R -3'
_space_group_IT_number 148
_space_group_name_Hall '-R 3'
_cell_length_a 12.1455
_cell_length_b 12.1455
_cell_length_c 14.0018
_cell_angle_alpha 90.00
_cell_angle_beta 90.00
_cell_angle_gamma 120.00
loop_
_atom_site_label
_atom_site_type_symbol
_atom_site_fract_x
_atom_site_fract_y
_atom_site_fract_z
Sm1 Sm 0.0294 0.8397 0.3866
Sm2 Sm 0.0325 0.1830 0.8939
Sn1 Sn 0.0042 0.6162 0.2492
C1 C 0.0000 0.0000 0.0000
```


[3]
VASP calculation (GGA-PBE) on CdAsW2 after structural relaxation.

Output
M_tot: 0.00 μB per formula unit
E above lowest polymorph: 563.5 meV/atom
energy of formation from the pure elements: 899 meV per atom
DOS(E_F): 0.83 states/eV per atom

Structure (CIF):
```
data_CdAsW2
_space_group_name_H-M_alt 'P 4/m m m'
_space_group_IT_number 123
_space_group_name_Hall '-P 4 2'
_cell_length_a 3.902
_cell_length_b 3.902
_cell_length_c 4.646
_cell_angle_alpha 90.00
_cell_angle_beta 90.00
_cell_angle_gamma 90.00
loop_
_atom_site_label
_atom_site_type_symbol
_atom_site_fract_x
_atom_site_fract_y
_atom_site_fract_z
Cd1 Cd 0.000 0.000 0.000
As1 As 0.500 0.500 0.000
W1 W 0.000 0.500 0.500
```


[4]
VASP calculation (GGA-PBE) on SmV2Fe10N after structural relaxation.

Output
raw formation energy: -132 meV/atom
M_tot: 18.59 μB per formula unit
DOS(E_F): 0.88 states/eV per atom

Structure (CIF):
```
data_SmV2Fe10N
_space_group_name_H-M_alt 'I m m m'
_space_group_IT_number 71
_space_group_name_Hall '-I 2 2'
_cell_length_a 4.801
_cell_length_b 8.554
_cell_length_c 8.577
_cell_angle_alpha 90.00
_cell_angle_beta 90.00
_cell_angle_gamma 90.00
loop_
_atom_site_label
_atom_site_type_symbol
_atom_site_fract_x
_atom_site_fract_y
_atom_site_fract_z
Sm1 Sm 0.000 0.000 0.000
V1 V 0.000 0.000 0.360
Fe1 Fe 0.000 0.275 0.500
Fe2 Fe 0.000 0.361 0.000
Fe3 Fe 0.000 0.500 0.276
Fe4 Fe 0.250 0.250 0.250
N1 N 0.000 0.500 0.500
```


[5]
VASP calculation (GGA-PBE) on CaTl2Pt after structural relaxation.

Output
M_tot: 0.00 μB per formula unit
energy of formation from the pure elements: -372 meV per atom
DOS(E_F): 0.34 states/eV per atom

Structure (CIF):
```
data_CaTl2Pt
_space_group_name_H-M_alt 'R 3 m'
_space_group_IT_number 160
_space_group_name_Hall 'R 3 -2"'
_cell_length_a 4.8418
_cell_length_b 4.8418
_cell_length_c 15.1265
_cell_angle_alpha 90.00
_cell_angle_beta 90.00
_cell_angle_gamma 120.00
loop_
_atom_site_label
_atom_site_type_symbol
_atom_site_fract_x
_atom_site_fract_y
_atom_site_fract_z
Ca1 Ca 0.0000 0.0000 0.0000
Tl1 Tl 0.0000 0.0000 0.2182
Tl2 Tl 0.0000 0.0000 0.4393
Pt1 Pt 0.0000 0.0000 0.8043
```


[6]
VASP calculation (GGA-PBE) on ZnInHPd2 after structural relaxation.

Output
M_tot: 0.00 μB per formula unit
DOS(E_F): 0.44 states/eV per atom
final energy: -3.7834 eV/atom

Structure (CIF):
```
data_ZnInHPd2
_space_group_name_H-M_alt 'P 4/m m m'
_space_group_IT_number 123
_space_group_name_Hall '-P 4 2'
_cell_length_a 4.139
_cell_length_b 4.139
_cell_length_c 3.964
_cell_angle_alpha 90.00
_cell_angle_beta 90.00
_cell_angle_gamma 90.00
loop_
_atom_site_label
_atom_site_type_symbol
_atom_site_fract_x
_atom_site_fract_y
_atom_site_fract_z
Zn1 Zn 0.000 0.000 0.000
In1 In 0.500 0.500 0.000
H1 H 0.000 0.000 0.500
Pd1 Pd 0.000 0.500 0.500
```


[7]
VASP calculation (GGA-PBE) on La2Y3ErSe6 after structural relaxation.

Output
raw formation energy: -1828 meV/atom
M_tot: 0.00 μB per formula unit
DOS(E_F): 0.54 states/eV per atom

Structure (CIF):
```
data_La2Y3ErSe6
_space_group_name_H-M_alt 'C 1 2/m 1'
_space_group_IT_number 12
_cell_length_a 18.108
_cell_length_b 4.127
_cell_length_c 8.380
_cell_angle_alpha 90.00
_cell_angle_beta 103.51
_cell_angle_gamma 90.00
loop_
_space_group_symop_operation_xyz
'x,y,z'
'-x,-y,-z'
'-x,y,-z'
'x,-y,z'
'x+1/2,y+1/2,z'
'-x+1/2,-y+1/2,-z'
'-x+1/2,y+1/2,-z'
'x+1/2,-y+1/2,z'
loop_
_atom_site_label
_atom_site_type_symbol
_atom_site_fract_x
_atom_site_fract_y
_atom_site_fract_z
La1 La 0.167 0.000 0.335
Y1 Y 0.000 0.500 0.500
Y2 Y 0.171 0.000 0.834
Er1 Er 0.000 0.500 0.000
Se1 Se 0.005 0.000 0.757
Se2 Se 0.162 0.500 0.593
Se3 Se 0.163 0.500 0.070
```


[8]
VASP calculation (GGA-PBE) on LaZnW2 after structural relaxation.

Output
M_tot: 0.49 μB per formula unit
energy of formation from the pure elements: 652 meV per atom
DOS(E_F): 1.26 states/eV per atom

Structure (CIF):
```
data_LaZnW2
_space_group_name_H-M_alt 'R 3 m'
_space_group_IT_number 160
_space_group_name_Hall 'R 3 -2"'
_cell_length_a 2.9030
_cell_length_b 2.9030
_cell_length_c 31.4513
_cell_angle_alpha 90.00
_cell_angle_beta 90.00
_cell_angle_gamma 120.00
loop_
_atom_site_label
_atom_site_type_symbol
_atom_site_fract_x
_atom_site_fract_y
_atom_site_fract_z
La1 La 0.0000 0.0000 0.0000
Zn1 Zn 0.0000 0.0000 0.7582
W1 W 0.0000 0.0000 0.2394
W2 W 0.0000 0.0000 0.4968
```


no.,calculated density (g cm⁻³)
1,11.706
2,7.042
3,13.026
4,7.776
5,10.445
6,9.634
7,6.467
8,12.414